No. 1
Entry from Alexandria: an optimized crystal structure of LaAg2Au (GGA-PBE).

a b c (Å): 5.237 6.727 5.233
angles (deg): 90.00 96.55 90.00
Positions (direct):
Ag1 0.104 0.250 0.123
Ag2 0.034 0.000 0.615
Ag3 0.593 0.500 0.055
Ag4 0.104 0.750 0.123
Au1 0.518 0.750 0.542
Au2 0.518 0.250 0.542
La1 0.598 0.000 0.040
La2 0.016 0.500 0.617

Values from the calculation:
* formation enthalpy at 0 K: -0.408 eV per atom
* VASP energy: -3.885 eV/atom

***

No. 2
Entry from Alexandria: an optimized crystal structure of Nb2BiH2 (GGA-PBE).

a b c (Å): 3.996 3.996 5.596
angles (deg): 69.08 69.08 90.00
Positions (direct):
Bi1 0.000 0.000 0.000
Nb1 0.250 0.750 0.500
Nb2 0.750 0.250 0.500
H1 0.693 0.693 0.614
H2 0.307 0.307 0.386

Values from the calculation:
* VASP energy: -5.978 eV/atom

***

No. 3
Entry from Alexandria: an optimized crystal structure of P2OsPt (GGA-PBE).

a b c (Å): 3.647 3.174 5.887
angles (deg): 57.38 90.00 90.00
Positions (direct):
P1 0.000 0.060 0.942
P2 0.500 0.186 0.315
Os1 0.500 0.693 0.804
Pt1 0.000 0.561 0.439

Values from the calculation:
* formation enthalpy at 0 K: -0.075 eV per atom
* VASP energy: -7.097 eV/atom